This record from Alexandria describes a relaxed AgSbPd2F crystal. The functional is PBE-GGA.

Properties
- Crystal system: tetragonal
- ΔE_f (raw): 0.720 eV/atom
- Energy: -3.13 eV per atom

a b c (Å): 5.0535 5.0545 5.0535
angles (deg): 90.00 90.00 90.00
Last column: nearest neighbours and their distance in Å.
Atoms (fractional coordinates):
Sb1 0.0000 0.5000 0.0000  2 Ag 2.53
Pd1 0.0000 0.0000 0.5000  2 Ag 2.53
Pd2 0.5000 0.0000 0.0000  2 Ag 2.53
Ag1 0.0000 0.0000 0.0000  4 Pd 2.53, 2 Sb 2.53
F1 0.5000 0.5000 0.5000  4 Sb 3.57, 8 Pd 3.57